{
  "formula": "Cs2CoCu3F10",
  "functional": "PBE with a Hubbard U",
  "state": "relaxed",
  "final_energy_ev_per_atom": -4.3556,
  "volume_a3_per_cell": 260,
  "lattice": [[6.7306, 0.0000, 0.0000], [-2.5037, 6.4999, 0.0000], [-3.2461, -2.4847, 5.9542]],
  "species": ["Cs", "Cs", "Co", "Cu", "Cu", "Cu", "F", "F", "F", "F", "F", "F", "F", "F", "F", "F"],
  "frac_coords": [[0.2283, 0.3697, 0.1258], [0.7717, 0.6303, 0.8742], [0.5000, 0.0000, 0.0000], [0.0000, 0.0000, 0.5000], [0.0000, 0.5000, 0.5000], [0.5000, 0.0000, 0.5000], [0.1447, 0.7021, 0.3935], [0.1791, 0.0144, 0.7978], [0.3014, 0.6628, 0.8078], [0.3165, 0.1711, 0.5202], [0.3495, 0.9431, 0.1854], [0.6505, 0.0569, 0.8146], [0.6835, 0.8289, 0.4798], [0.6986, 0.3372, 0.1922], [0.8209, 0.9856, 0.2022], [0.8553, 0.2979, 0.6065]]
}

***

{
  "formula": "Cs2Co3CuF12",
  "functional": "PBE with a Hubbard U",
  "state": "relaxed",
  "final_energy_ev_per_atom": -4.5760,
  "volume_a3_per_cell": 284,
  "lattice": [[3.6837, 2.1268, 6.0439], [-3.6837, 2.1268, 6.0439], [0.0000, -4.2536, 6.0439]],
  "species": ["Cs", "Cs", "Co", "Co", "Co", "Cu", "F", "F", "F", "F", "F", "F", "F", "F", "F", "F", "F", "F"],
  "frac_coords": [[0.1258, 0.1258, 0.1258], [0.8742, 0.8742, 0.8742], [0.0000, 0.5000, 0.5000], [0.5000, 0.0000, 0.5000], [0.5000, 0.5000, 0.0000], [0.5000, 0.5000, 0.5000], [0.1809, 0.1809, 0.5654], [0.1809, 0.5654, 0.1809], [0.1841, 0.5668, 0.5668], [0.4332, 0.4332, 0.8159], [0.4332, 0.8159, 0.4332], [0.4346, 0.8191, 0.8191], [0.5654, 0.1809, 0.1809], [0.5668, 0.1841, 0.5668], [0.5668, 0.5668, 0.1841], [0.8159, 0.4332, 0.4332], [0.8191, 0.4346, 0.8191], [0.8191, 0.8191, 0.4346]]
}

***

{
  "formula": "Cs2CoCu3F12",
  "functional": "PBE with a Hubbard U",
  "state": "relaxed",
  "final_energy_ev_per_atom": -4.2591,
  "volume_a3_per_cell": 280,
  "lattice": [[3.6663, 2.1168, 6.0097], [-3.6663, 2.1168, 6.0097], [0.0000, -4.2335, 6.0097]],
  "species": ["Cs", "Cs", "Co", "Cu", "Cu", "Cu", "F", "F", "F", "F", "F", "F", "F", "F", "F", "F", "F", "F"],
  "frac_coords": [[0.1229, 0.1229, 0.1229], [0.8771, 0.8771, 0.8771], [0.5000, 0.5000, 0.5000], [0.0000, 0.5000, 0.5000], [0.5000, 0.0000, 0.5000], [0.5000, 0.5000, 0.0000], [0.1812, 0.1812, 0.5704], [0.1812, 0.5704, 0.1812], [0.1839, 0.5715, 0.5715], [0.4285, 0.4285, 0.8161], [0.4285, 0.8161, 0.4285], [0.4296, 0.8188, 0.8188], [0.5704, 0.1812, 0.1812], [0.5715, 0.1839, 0.5715], [0.5715, 0.5715, 0.1839], [0.8161, 0.4285, 0.4285], [0.8188, 0.4295, 0.8188], [0.8188, 0.8188, 0.4296]]
}

***

{
  "formula": "Cs2CoCuF",
  "functional": "PBE with a Hubbard U",
  "state": "relaxed",
  "final_energy_ev_per_atom": -2.6978,
  "volume_a3_per_cell": 174,
  "lattice": [[6.3638, 0.0000, 0.0000], [0.0000, 6.3638, 0.0000], [0.0000, 0.0000, 4.2895]],
  "species": ["Cs", "Cs", "Co", "Cu", "F"],
  "frac_coords": [[0.0000, 0.5000, 0.0000], [0.5000, 0.0000, 0.0000], [0.0000, 0.0000, 0.5000], [0.5000, 0.5000, 0.5000], [0.5000, 0.5000, 0.0000]]
}